A plane-wave DFT calculation with PBE was carried out for Na2RuPb3O6 after structural relaxation.

Cell lengths 6.047, 10.689, 5.902 Å; angles 90.00, 105.97, 90.00 degrees
Space group C2/m (No. 12)
Inequivalent atoms, fractional coordinates:
Na1 0.000 0.175 0.000 x4
Ru1 0.000 0.500 0.000 x2
Pb1 0.000 0.000 0.500 x2
Pb2 0.000 0.334 0.500 x4
O1 0.190 0.500 0.745 x4
O2 0.205 0.368 0.198 x8

Calculated values
The value obtained for the uncorrected formation energy is -1078 meV/atom.